Entry 1:
# GGA-PBE Si5Ru3, optimized geometry
data_Si5Ru3
_cell_length_a 7.160
_cell_length_b 7.160
_cell_length_c 4.993
_cell_angle_alpha 90.00
_cell_angle_beta 90.00
_cell_angle_gamma 120.00
_space_group_name_H-M_alt 'P 1'
_space_group_IT_number 1
loop_
_space_group_symop_operation_xyz
'x,y,z'
loop_
_atom_site_label
_atom_site_fract_x
_atom_site_fract_y
_atom_site_fract_z
Ru1 0.613 0.000 0.250
Ru2 0.387 0.000 0.750
Ru3 0.000 0.613 0.250
Ru4 0.387 0.387 0.250
Ru5 0.613 0.613 0.750
Ru6 0.000 0.387 0.750
Si1 0.333 0.667 0.000
Si2 0.667 0.333 0.500
Si3 0.667 0.333 0.000
Si4 0.333 0.667 0.500
Si5 0.256 0.000 0.250
Si6 0.744 0.000 0.750
Si7 0.000 0.256 0.250
Si8 0.744 0.744 0.250
Si9 0.256 0.256 0.750
Si10 0.000 0.744 0.750
# **Magnetization**: 0.000 μB per atom
# **Energy relative to the elements, uncorrected**: -152 meV per atom

Entry 2:
# GGA-PBE Si2Ru, optimized geometry
data_Si2Ru
_cell_length_a 4.812
_cell_length_b 4.812
_cell_length_c 4.812
_cell_angle_alpha 60.00
_cell_angle_beta 60.00
_cell_angle_gamma 60.00
_space_group_name_H-M_alt 'P 1'
_space_group_IT_number 1
loop_
_space_group_symop_operation_xyz
'x,y,z'
loop_
_atom_site_label
_atom_site_fract_x
_atom_site_fract_y
_atom_site_fract_z
Si1 0.625 0.125 0.125
Si2 0.125 0.625 0.125
Si3 0.125 0.125 0.625
Si4 0.125 0.125 0.125
Ru1 0.500 0.500 0.500
Ru2 0.750 0.750 0.750
# **Magnetization**: 0.067 μB per atom
# **Energy relative to the elements, uncorrected**: 442 meV per atom

Entry 3:
# GGA-PBE Si3Ru, optimized geometry
data_Si3Ru
_cell_length_a 4.344
_cell_length_b 3.326
_cell_length_c 4.447
_cell_angle_alpha 72.43
_cell_angle_beta 90.00
_cell_angle_gamma 90.00
_space_group_name_H-M_alt 'P 1'
_space_group_IT_number 1
loop_
_space_group_symop_operation_xyz
'x,y,z'
loop_
_atom_site_label
_atom_site_fract_x
_atom_site_fract_y
_atom_site_fract_z
Ru1 0.000 0.000 0.000
Si1 0.500 0.137 0.708
Si2 0.000 0.500 0.500
Si3 0.500 0.863 0.292
# **Magnetization**: 0.000 μB per atom
# **Energy relative to the elements, uncorrected**: 7 meV per atom

Entry 4:
# GGA-PBE SiRu3, optimized geometry
data_SiRu3
_cell_length_a 2.835
_cell_length_b 2.835
_cell_length_c 6.636
_cell_angle_alpha 90.00
_cell_angle_beta 90.00
_cell_angle_gamma 90.00
_space_group_name_H-M_alt 'P 1'
_space_group_IT_number 1
loop_
_space_group_symop_operation_xyz
'x,y,z'
loop_
_atom_site_label
_atom_site_fract_x
_atom_site_fract_y
_atom_site_fract_z
Ru1 0.000 0.000 0.970
Ru2 0.500 0.500 0.250
Ru3 0.000 0.000 0.530
Si1 0.500 0.500 0.750
# **Magnetization**: 0.000 μB per atom
# **Energy relative to the elements, uncorrected**: -256 meV per atom

Entry 5:
# GGA-PBE SiRu3, optimized geometry
data_SiRu3
_cell_length_a 4.530
_cell_length_b 4.530
_cell_length_c 2.749
_cell_angle_alpha 90.00
_cell_angle_beta 90.00
_cell_angle_gamma 105.73
_space_group_name_H-M_alt 'P 1'
_space_group_IT_number 1
loop_
_space_group_symop_operation_xyz
'x,y,z'
loop_
_atom_site_label
_atom_site_fract_x
_atom_site_fract_y
_atom_site_fract_z
Ru1 0.000 0.500 0.500
Ru2 0.500 0.000 0.500
Ru3 0.500 0.500 0.000
Si1 0.000 0.000 0.000
# **Magnetization**: 0.000 μB per atom
# **Energy relative to the elements, uncorrected**: -56 meV per atom

Entry 6:
# GGA-PBE SiRu5, optimized geometry
data_SiRu5
_cell_length_a 2.787
_cell_length_b 2.787
_cell_length_c 10.466
_cell_angle_alpha 90.00
_cell_angle_beta 90.00
_cell_angle_gamma 90.00
_space_group_name_H-M_alt 'P 1'
_space_group_IT_number 1
loop_
_space_group_symop_operation_xyz
'x,y,z'
loop_
_atom_site_label
_atom_site_fract_x
_atom_site_fract_y
_atom_site_fract_z
Si1 0.500 0.500 0.000
Ru1 0.000 0.000 0.858
Ru2 0.000 0.000 0.142
Ru3 0.500 0.500 0.678
Ru4 0.500 0.500 0.322
Ru5 0.000 0.000 0.500
# **Magnetization**: 0.000 μB per atom
# **Energy relative to the lowest polymorph listed for this composition**: 0 meV per atom
# **Energy relative to the elements, uncorrected**: -101 meV per atom

Entry 7:
# GGA-PBE Si3Ru, optimized geometry
data_Si3Ru
_cell_length_a 5.292
_cell_length_b 5.292
_cell_length_c 4.536
_cell_angle_alpha 90.00
_cell_angle_beta 90.00
_cell_angle_gamma 120.00
_space_group_name_H-M_alt 'P 1'
_space_group_IT_number 1
loop_
_space_group_symop_operation_xyz
'x,y,z'
loop_
_atom_site_label
_atom_site_fract_x
_atom_site_fract_y
_atom_site_fract_z
Si1 0.829 0.658 0.250
Si2 0.342 0.171 0.250
Si3 0.829 0.171 0.250
Si4 0.171 0.342 0.750
Si5 0.658 0.829 0.750
Si6 0.171 0.829 0.750
Ru1 0.333 0.667 0.250
Ru2 0.667 0.333 0.750
# **Magnetization**: 0.000 μB per atom
# **Energy relative to the elements, uncorrected**: 253 meV per atom

Entry 8:
# GGA-PBE SiRu5, optimized geometry
data_SiRu5
_cell_length_a 5.067
_cell_length_b 5.067
_cell_length_c 6.274
_cell_angle_alpha 77.84
_cell_angle_beta 77.84
_cell_angle_gamma 31.49
_space_group_name_H-M_alt 'P 1'
_space_group_IT_number 1
loop_
_space_group_symop_operation_xyz
'x,y,z'
loop_
_atom_site_label
_atom_site_fract_x
_atom_site_fract_y
_atom_site_fract_z
Si1 0.280 0.280 0.942
Ru1 0.995 0.995 0.000
Ru2 0.332 0.332 0.330
Ru3 0.670 0.670 0.676
Ru4 0.607 0.607 0.279
Ru5 0.950 0.950 0.606
# **Magnetization**: 0.000 μB per atom
# **Energy relative to the lowest polymorph listed for this composition**: 20 meV per atom
# **Energy relative to the elements, uncorrected**: -81 meV per atom

Entry 9:
# GGA-PBE Si2Ru, optimized geometry
data_Si2Ru
_cell_length_a 2.939
_cell_length_b 2.939
_cell_length_c 5.550
_cell_angle_alpha 90.00
_cell_angle_beta 90.00
_cell_angle_gamma 120.00
_space_group_name_H-M_alt 'P 1'
_space_group_IT_number 1
loop_
_space_group_symop_operation_xyz
'x,y,z'
loop_
_atom_site_label
_atom_site_fract_x
_atom_site_fract_y
_atom_site_fract_z
Ru1 0.000 0.000 0.000
Si1 0.667 0.333 0.677
Si2 0.333 0.667 0.323
# **Magnetization**: 0.000 μB per atom
# **Energy relative to the elements, uncorrected**: -281 meV per atom

Entry 10:
# GGA-PBE Si2Ru, optimized geometry
data_Si2Ru
_cell_length_a 6.887
_cell_length_b 6.887
_cell_length_c 2.952
_cell_angle_alpha 90.00
_cell_angle_beta 90.00
_cell_angle_gamma 120.00
_space_group_name_H-M_alt 'P 1'
_space_group_IT_number 1
loop_
_space_group_symop_operation_xyz
'x,y,z'
loop_
_atom_site_label
_atom_site_fract_x
_atom_site_fract_y
_atom_site_fract_z
Si1 0.285 0.000 0.000
Si2 0.000 0.285 0.000
Si3 0.715 0.715 0.000
Si4 0.624 0.000 0.500
Si5 0.000 0.624 0.500
Si6 0.376 0.376 0.500
Ru1 0.333 0.667 0.000
Ru2 0.667 0.333 0.000
Ru3 0.000 0.000 0.500
# **Magnetization**: 0.000 μB per atom
# **Energy relative to the elements, uncorrected**: -334 meV per atom

Entry 11:
# GGA-PBE Si5Ru, optimized geometry
data_Si5Ru
_cell_length_a 4.959
_cell_length_b 4.959
_cell_length_c 4.959
_cell_angle_alpha 60.00
_cell_angle_beta 60.00
_cell_angle_gamma 60.00
_space_group_name_H-M_alt 'P 1'
_space_group_IT_number 1
loop_
_space_group_symop_operation_xyz
'x,y,z'
loop_
_atom_site_label
_atom_site_fract_x
_atom_site_fract_y
_atom_site_fract_z
Si1 0.750 0.750 0.750
Si2 0.872 0.376 0.376
Si3 0.376 0.872 0.376
Si4 0.376 0.376 0.872
Si5 0.376 0.376 0.376
Ru1 0.000 0.000 0.000
# **Magnetization**: 0.000 μB per atom
# **Energy relative to the lowest polymorph listed for this composition**: 540 meV per atom
# **Energy relative to the elements, uncorrected**: 617 meV per atom

Entry 12:
# GGA-PBE Si2Ru, optimized geometry
data_Si2Ru
_cell_length_a 4.137
_cell_length_b 4.137
_cell_length_c 4.137
_cell_angle_alpha 136.77
_cell_angle_beta 115.23
_cell_angle_gamma 81.09
_space_group_name_H-M_alt 'P 1'
_space_group_IT_number 1
loop_
_space_group_symop_operation_xyz
'x,y,z'
loop_
_atom_site_label
_atom_site_fract_x
_atom_site_fract_y
_atom_site_fract_z
Si1 0.305 0.805 0.500
Si2 0.695 0.195 0.500
Ru1 0.000 0.000 0.000
# **Magnetization**: 0.000 μB per atom
# **Energy relative to the elements, uncorrected**: -358 meV per atom